MgAuBr2 after structural relaxation, computed with PBEsol.

Values from the calculation:
E_form (uncorrected) in eV per formula unit: -0.72
N(E_F) in states/eV/atom: 0.35
Total energy in eV for the cell shown: -10.1

Cell: 4.8350 4.8350 3.6829 Å, 90.00 90.00 90.00°
With the nearest neighbours (Å) after each atom.
Atoms (fractional coordinates):
Mg 0.0000 0.0000 0.0000  8 Br 3.04
Au 0.5000 0.5000 0.0000  8 Br 3.04
Br 0.0000 0.5000 0.5000  4 Mg 3.04, 4 Au 3.04
Br 0.5000 0.0000 0.5000  4 Mg 3.04, 4 Au 3.04

BeAuC3 after structural relaxation, computed with PBEsol.

Values from the calculation:
N(E_F) in states/eV/atom: 0.44
Total energy in eV for the cell shown: -24.5

Cell: 3.6417 3.6417 3.6417 Å, 90.00 90.00 90.00°
With the nearest neighbours (Å) after each atom.
Atoms (fractional coordinates):
Be 0.0000 0.0000 0.0000  6 C 1.82
Au 0.5000 0.5000 0.5000  12 C 2.58
C 0.0000 0.0000 0.5000  2 Be 1.82
C 0.0000 0.5000 0.0000  2 Be 1.82
C 0.5000 0.0000 0.0000  2 Be 1.82

YTlIr2 after structural relaxation, computed with PBEsol.

Values from the calculation:
N(E_F) in states/eV/atom: 1.36
Total energy in eV for the cell shown: -27.4

Cell: 9.1958 9.1958 9.1958 Å, 19.67 19.67 19.67°
With the nearest neighbours (Å) after each atom.
Atoms (fractional coordinates):
Y 0.0000 0.0000 0.0000  3 Ir 2.74
Tl 0.2318 0.2318 0.2318  3 Ir 2.81, 6 Tl 3.14
Ir 0.4856 0.4856 0.4856  3 Ir 2.75, 3 Tl 2.81
Ir 0.7428 0.7428 0.7428  3 Y 2.74, 3 Ir 2.75

CrTe3 after structural relaxation, computed with PBEsol.

Values from the calculation:
E_form (uncorrected) in eV per formula unit: 0.50
N(E_F) in states/eV/atom: 0.44
Total energy in eV for the cell shown: -20.3

Cell: 6.6131 6.6131 6.6131 Å, 147.11 137.16 55.04°
With the nearest neighbours (Å) after each atom.
Atoms (fractional coordinates):
Cr 0.0000 0.0000 0.0000  4 Te 2.72
Te 0.1683 0.6683 0.5000  2 Cr 2.72
Te 0.5000 0.5000 0.0000  4 Cr 3.06, 4 Te 3.12
Te 0.8317 0.3317 0.5000  2 Cr 2.72

Sr2MoF after structural relaxation, computed with PBEsol.

Values from the calculation:
E_form (uncorrected) in eV per formula unit: 0.80
N(E_F) in states/eV/atom: 1.24
Total energy in eV for the cell shown: -16.6

Cell: 5.3410 5.3410 5.3410 Å, 60.00 60.00 60.00°
With the nearest neighbours (Å) after each atom.
Atoms (fractional coordinates):
Sr 0.2500 0.2500 0.2500  4 F 3.27, 4 Mo 3.27
Sr 0.7500 0.7500 0.7500  4 F 3.27, 4 Mo 3.27
Mo 0.0000 0.0000 0.0000  8 Sr 3.27
F 0.5000 0.5000 0.5000  8 Sr 3.27

Co2PdW after structural relaxation, computed with PBEsol.

Values from the calculation:
N(E_F) in states/eV/atom: 0.61
Total energy in eV for the cell shown: -34.9

Cell: 4.1208 4.1208 4.1208 Å, 60.00 60.00 60.00°
With the nearest neighbours (Å) after each atom.
Atoms (fractional coordinates):
Co 0.2500 0.2500 0.2500  4 W 2.52, 4 Pd 2.52
Co 0.7500 0.7500 0.7500  4 W 2.52, 4 Pd 2.52
Pd 0.0000 0.0000 0.0000  8 Co 2.52
W 0.5000 0.5000 0.5000  8 Co 2.52

BeTlP2O after structural relaxation, computed with PBEsol.

Values from the calculation:
E_form (uncorrected) in eV per formula unit: -0.21
N(E_F) in states/eV/atom: 0.60
Total energy in eV for the cell shown: -23.7

Cell: 5.1496 5.1496 2.9650 Å, 90.00 90.00 90.00°
With the nearest neighbours (Å) after each atom.
Atoms (fractional coordinates):
Be 0.0000 0.0000 0.0000  2 O 1.48
Tl 0.5000 0.5000 0.5000  2 Tl 2.97, 8 P 2.97
P 0.0000 0.5000 0.0000  2 Be 2.57
P 0.5000 0.0000 0.0000  2 Be 2.57
O 0.0000 0.0000 0.5000  2 Be 1.48

MnFe2Ag after structural relaxation, computed with PBEsol.

Values from the calculation:
N(E_F) in states/eV/atom: 1.64
Total energy in eV for the cell shown: -28.7

Cell: 4.1553 4.1553 4.1553 Å, 60.00 60.00 60.00°
With the nearest neighbours (Å) after each atom.
Atoms (fractional coordinates):
Mn 0.0000 0.0000 0.0000  8 Fe 2.54
Fe 0.2500 0.2500 0.2500  4 Mn 2.54, 4 Ag 2.54
Fe 0.7500 0.7500 0.7500  4 Mn 2.54, 4 Ag 2.54
Ag 0.5000 0.5000 0.5000  8 Fe 2.54

Mn2VRe after structural relaxation, computed with PBEsol.

Values from the calculation:
N(E_F) in states/eV/atom: 1.29
Total energy in eV for the cell shown: -42.6

Cell: 4.0832 4.0832 4.0832 Å, 60.00 60.00 60.00°
With the nearest neighbours (Å) after each atom.
Atoms (fractional coordinates):
Mn 0.2500 0.2500 0.2500  4 Re 2.50, 4 V 2.50
Mn 0.7500 0.7500 0.7500  4 Re 2.50, 4 V 2.50
V 0.0000 0.0000 0.0000  8 Mn 2.50
Re 0.5000 0.5000 0.5000  8 Mn 2.50

TaRu2Pb after structural relaxation, computed with PBEsol.

Values from the calculation:
N(E_F) in states/eV/atom: 0.66
Total energy in eV for the cell shown: -36.0

Cell: 5.1953 5.1953 5.1953 Å, 136.70 136.70 62.91°
With the nearest neighbours (Å) after each atom.
Atoms (fractional coordinates):
Ta 0.0000 0.0000 0.0000  8 Ru 2.71-2.93, 4 Pb 2.93
Ru 0.2500 0.7500 0.5000  4 Pb 2.71, 4 Ru 2.93, 4 Ta 2.93
Ru 0.5000 0.5000 0.0000  4 Ta 2.71, 4 Pb 2.93, 4 Ru 2.93
Pb 0.7500 0.2500 0.5000  8 Ru 2.71-2.93, 4 Ta 2.93

BeH3Pd after structural relaxation, computed with PBEsol.

Values from the calculation:
N(E_F) in states/eV/atom: 0.61
Total energy in eV for the cell shown: -17.7

Cell: 3.1940 3.1940 3.1940 Å, 90.00 90.00 90.00°
With the nearest neighbours (Å) after each atom.
Atoms (fractional coordinates):
Be 0.0000 0.0000 0.0000  6 H 1.60
H 0.0000 0.0000 0.5000  2 Be 1.60
H 0.0000 0.5000 0.0000  2 Be 1.60
H 0.5000 0.0000 0.0000  2 Be 1.60
Pd 0.5000 0.5000 0.5000  12 H 2.26

MoAuIN2 after structural relaxation, computed with PBEsol.

Values from the calculation:
E_form (uncorrected) in eV per formula unit: 2.95
N(E_F) in states/eV/atom: 0.50
Total energy in eV for the cell shown: -31.6

Cell: 3.8939 3.8939 5.7809 Å, 90.00 90.00 90.00°
With the nearest neighbours (Å) after each atom.
Atoms (fractional coordinates):
Mo 0.0000 0.0000 0.0000  4 N 1.95
Au 0.5000 0.5000 0.5000  4 I 2.75
I 0.0000 0.0000 0.5000  4 Au 2.75, 2 Mo 2.89
N 0.0000 0.5000 0.0000  2 Mo 1.95
N 0.5000 0.0000 0.0000  2 Mo 1.95